1 | Compound: TlBrN2
Source: Alexandria via LeMat-Bulk
Functional: PBE
Structure: relaxed

Geometry as CIF:
```
data_TlBrN2
_symmetry_space_group_name_H-M 'R -3 m'
_symmetry_Int_Tables_number 166
_symmetry_space_group_name_Hall '-R 3 2"'
_cell_length_a 3.2764
_cell_length_b 3.2764
_cell_length_c 21.7658
_cell_angle_alpha 90.00
_cell_angle_beta 90.00
_cell_angle_gamma 120.00
loop_
_atom_site_label
_atom_site_fract_x
_atom_site_fract_y
_atom_site_fract_z
Tl1 0.0000 0.0000 0.0000
Br1 0.0000 0.0000 0.5000
N1 0.0000 0.0000 0.1135
```

---

2 | Compound: TlBrN2
Source: Alexandria via LeMat-Bulk
Functional: PBE
Structure: relaxed

Geometry as CIF:
```
data_TlBrN2
_symmetry_space_group_name_H-M 'R -3 m'
_symmetry_Int_Tables_number 166
_symmetry_space_group_name_Hall '-R 3 2"'
_cell_length_a 3.5893
_cell_length_b 3.5893
_cell_length_c 18.9119
_cell_angle_alpha 90.00
_cell_angle_beta 90.00
_cell_angle_gamma 120.00
loop_
_atom_site_label
_atom_site_fract_x
_atom_site_fract_y
_atom_site_fract_z
Tl1 0.0000 0.0000 0.0000
Br1 0.0000 0.0000 0.5000
N1 0.0000 0.0000 0.3940
```

---

Relative energies in eV/atom: 1 0.540; 2 0.000